[1]
Below is an optimized crystal structure of Pm5ZnIr2, with properties calculated at the GGA-PBE level.

abc: 7.9680 7.9680 13.4418
angles: 90.00 90.00 90.00
Space group I4/mcm (No. 140)
One atom of each set of equivalent atoms:
1 Pm 0.0000 0.0000 0.0000 x4
2 Pm 0.1625 0.3375 0.1362 x16
3 Zn 0.0000 0.0000 0.2500 x4
4 Ir 0.1369 0.3631 0.5000 x8

---

[2]
Below is an optimized crystal structure of Pm6Zn5Ir, with properties calculated at the GGA-PBE level.

abc: 5.1366 7.2855 15.4041
angles: 90.00 90.00 90.00
Space group Immm (No. 71)
One atom of each set of equivalent atoms:
1 Pm 0.0000 0.2382 0.0000 x4
2 Pm 0.0000 0.2580 0.3397 x8
3 Zn 0.0000 0.0000 0.1797 x4
4 Zn 0.0000 0.0000 0.5000 x2
5 Zn 0.0000 0.5000 0.1689 x4
6 Ir 0.0000 0.5000 0.5000 x2

---

[3]
Below is an optimized crystal structure of Pm2Zn5Ir5, with properties calculated at the GGA-PBE level.

abc: 4.0882 5.5751 9.1640
angles: 90.00 90.00 90.00
Space group Pmmm (No. 47)
One atom of each set of equivalent atoms:
1 Pm 0.0000 0.0000 0.0000 x1
2 Pm 0.0000 0.5000 0.5000 x1
3 Zn 0.0000 0.0000 0.3304 x2
4 Zn 0.0000 0.5000 0.1696 x2
5 Zn 0.5000 0.0000 0.5000 x1
6 Ir 0.5000 0.2452 0.2505 x4
7 Ir 0.5000 0.5000 0.0000 x1

---

[4]
Below is an optimized crystal structure of PmZrZnIr, with properties calculated at the GGA-PBE level.

abc: 6.9000 6.9000 6.9000
angles: 90.00 90.00 90.00
Space group F-43m (No. 216)
One atom of each set of equivalent atoms:
1 Pm 0.0000 0.0000 0.0000 x4
2 Zr 0.0000 0.0000 0.5000 x4
3 Zn 0.2500 0.2500 0.7500 x4
4 Ir 0.2500 0.2500 0.2500 x4

---

| no. | DFT total energy (eV per atom) |
| --- | --- |
| 1 | -5.853 |
| 2 | -4.042 |
| 3 | -5.455 |
| 4 | -6.264 |